Entry 1:
Computed, not measured: an optimized crystal structure of Ni2AgMoPb at the PBE level of DFT.

Results
Space group: No. 123
Size of the total moment, μB/cell: 0.000
Energy of formation from the pure elements, meV/atom: 1172
N(E_F), states/eV/f.u.: 4.8
Density, kg/m³: 7910

Lattice parameters (Å, degrees): 4.563 5.329 4.563 90.00 90.00 90.00
Atoms (fractional coordinates):
Ni (0.000, 0.000, 0.500)
Pb (0.000, 0.500, 0.000)
Ag (0.500, 0.500, 0.500)
Mo (0.000, 0.000, 0.000)
Ni (0.500, 0.000, 0.000)

***

Entry 2:
Computed, not measured: an optimized crystal structure of NiAg2MoPt at the PBE level of DFT.

Results
Space group: No. 123
Size of the total moment, μB/cell: 1.928
Energy of formation from the pure elements, meV/atom: 1141
N(E_F), states/eV/f.u.: 5.3
Density, kg/m³: 9816

Lattice parameters (Å, degrees): 4.671 4.384 4.671 90.00 90.00 90.00
Atoms (fractional coordinates):
Ni (0.000, 0.000, 0.000)
Mo (0.000, 0.500, 0.000)
Pt (0.500, 0.500, 0.500)
Ag (0.000, 0.000, 0.500)
Ag (0.500, 0.000, 0.000)

***

Entry 3:
Computed, not measured: an optimized crystal structure of NiAgMo2Se at the PBE level of DFT.

Results
Space group: No. 123
Size of the total moment, μB/cell: 0.000
N(E_F), states/eV/f.u.: 4.8
Formation energy (no corrections), eV per atom: 0.970
Density, kg/m³: 7835

Lattice parameters (Å, degrees): 4.656 4.275 4.656 90.00 90.00 90.00
Atoms (fractional coordinates):
Mo (0.000, 0.000, 0.500)
Ag (0.500, 0.500, 0.500)
Ni (0.000, 0.500, 0.000)
Mo (0.500, 0.000, 0.000)
Se (0.000, 0.000, 0.000)

***

Entry 4:
Computed, not measured: an optimized crystal structure of SrNiAgMo2 at the PBE level of DFT.

Results
Space group: No. 123
Size of the total moment, μB/cell: 0.662
Energy of formation from the pure elements, meV/atom: 2904
N(E_F), states/eV/f.u.: 5.0
Density, kg/m³: 6191

Lattice parameters (Å, degrees): 4.819 5.151 4.819 90.00 90.00 90.00
Atoms (fractional coordinates):
Ni (0.500, 0.500, 0.500)
Mo (0.000, 0.000, 0.500)
Ag (0.000, 0.500, 0.000)
Mo (0.500, 0.000, 0.000)
Sr (0.000, 0.000, 0.000)

***

Entry 5:
Computed, not measured: an optimized crystal structure of Ta2NiAgMo at the PBE level of DFT.

Results
Space group: No. 123
Size of the total moment, μB/cell: 0.000
Energy of formation from the pure elements, meV/atom: 1140
N(E_F), states/eV/f.u.: 6.1
Density, kg/m³: 11082

Lattice parameters (Å, degrees): 4.540 4.539 4.540 90.00 90.00 90.00
Atoms (fractional coordinates):
Ta (0.500, 0.000, 0.000)
Ta (0.000, 0.000, 0.500)
Ag (0.000, 0.500, 0.000)
Mo (0.500, 0.500, 0.500)
Ni (0.000, 0.000, 0.000)